# SrTeBr2

A relaxed structure of SrTeBr2 (GGA-PBE, Alexandria via LeMat-Bulk).

```
4
Lattice="3.631 0.000 0.000 0.000 3.631 0.000 0.000 0.000 12.192" Properties=species:S:1:pos:R:3 pbc="T T T"
Sr 0.000 0.000 0.000
Te 0.000 0.000 6.096
Br 1.815 1.815 1.792
Br 1.815 1.815 10.401
```

Computed properties:
crystal system: tetragonal
energy relative to the elements, uncorrected: -1.1513 eV/atom
DOS(E_F): 0.562 states/eV/atom